Compound: LaPrCuPb
Source: Alexandria
Functional: GGA-PBE
Structure: optimized geometry

Values from the calculation:
**Final energy**: -4.69 eV/atom

abc: 7.701 7.701 7.701
angles: 90.00 90.00 90.00
Space group F-43m (No. 216)
One atom of each set of equivalent atoms:
1 La 0.000 0.000 0.000 [4 per cell]
2 Pr 0.000 0.000 0.500 [4 per cell]
3 Cu 0.250 0.250 0.250 [4 per cell]
4 Pb 0.250 0.250 0.750 [4 per cell]